# 1
Material: KSi2Hg
Method: DFT, GGA-PBE
State: optimized geometry

## Properties
Raw total energy   -2.8811 eV/atom
N(E_F)   0.166 states/eV per atom
Formation energy (no corrections)   0.180 eV/atom

Cell lengths 3.421, 3.469, 8.113 Å; angles 90.00, 90.00, 90.00 degrees
Space group Pmm2 (No. 25)
Symmetry-distinct sites (fractional):
K 0.000 0.000 0.000
Si 0.000 0.000 0.413
Si 0.500 0.500 0.329
Hg 0.500 0.500 0.693

=====

# 2
Material: AlTcRu2
Method: DFT, GGA-PBE
State: optimized geometry

## Properties
Raw total energy   -8.3243 eV/atom
N(E_F)   0.857 states/eV per atom
Excess energy over the best structure of this formula in the dataset   0.58 eV/f.u.
Calculated formation energy   -0.6 eV/f.u.

Cell lengths 2.796, 3.963, 5.151 Å; angles 90.00, 90.00, 90.00 degrees
Space group Pmm2 (No. 25)
Symmetry-distinct sites (fractional):
Al 0.000 0.000 0.000
Tc 0.500 0.500 0.725
Ru 0.000 0.000 0.503
Ru 0.500 0.500 0.200

=====

The lowest N(E_F) belongs to which entry?
KSi2Hg

=====

The lowest raw total energy belongs to which entry?
AlTcRu2